Material: ZrFeTe2
Method: DFT, PBE
State: optimized geometry

Energy relative to the elements, uncorrected in eV/atom: -0.07
Magnetization in μB/atom: 0.562

Lattice parameters (Å, degrees): 4.9579 4.9579 4.9579 60.00 60.00 60.00
With the nearest neighbours (Å) after each atom.
Sites, in units of the cell vectors:
Fe 0.0000 0.0000 0.0000  8 Te 3.04
Zr 0.5000 0.5000 0.5000  8 Te 3.04
Te 0.7500 0.7500 0.7500  4 Zr 3.04, 4 Fe 3.04
Te 0.2500 0.2500 0.2500  4 Zr 3.04, 4 Fe 3.04

Material: Tb6Al2Sn
Method: DFT, PBE
State: optimized geometry

ΔE_f in eV/atom: -0.357
Magnetization in μB/atom: 0.000

Lattice parameters (Å, degrees): 8.7368 8.7368 8.7368 103.96 113.04 111.55
With the nearest neighbours (Å) after each atom.
Sites, in units of the cell vectors:
Al 0.5000 0.3797 0.8797  1 Al 2.59
Al 0.5000 0.6203 0.1203  1 Al 2.59
Al 0.6417 0.0000 0.6417  1 Al 2.73, 2 Tb 3.00
Al 0.3583 0.0000 0.3583  1 Al 2.73, 2 Tb 3.00
Tb 0.7070 0.0288 0.3218  3 Al 2.97-3.11
Tb 0.2930 0.6148 0.3218  3 Al 2.97-3.11
Tb 0.7977 0.7588 0.5565  2 Al 3.00-3.23, 1 Sn 3.25
Tb 0.5376 0.7235 0.8141  3 Al 3.12-3.19, 1 Sn 3.26
Tb 0.2023 0.7588 0.9611  2 Al 3.00-3.23, 1 Sn 3.25
Tb 0.7977 0.2412 0.0389  2 Al 3.00-3.23, 1 Sn 3.25
Tb 0.4624 0.2765 0.1859  3 Al 3.12-3.19, 1 Sn 3.26
Tb 0.0907 0.2765 0.8141  3 Al 3.12-3.19, 1 Sn 3.26
Tb 0.2930 0.9712 0.6782  3 Al 2.97-3.11
Tb 0.2023 0.2412 0.4435  2 Al 3.00-3.23, 1 Sn 3.25
Tb 0.9093 0.7235 0.1859  3 Al 3.12-3.19, 1 Sn 3.26
Tb 0.7070 0.3852 0.6782  3 Al 2.97-3.11
Sn 0.0000 0.5000 0.5000  12 Tb 3.40-3.74
Sn 0.0000 0.0000 0.0000  8 Tb 3.25-3.26, 2 Al 3.45

> Which value of magnetization does entry 2 give?

0.000 μB/atom

> What is the formula in the second record?

Tb6Al2Sn

> Among the records above, which one has the highest magnetization?

ZrFeTe2